# LiNbCo3P6O24

Crystalline LiNbCo3P6O24 at its relaxed geometry (GGA-PBEsol, Alexandria).

a b c (Å): 8.086 8.086 8.560
angles (deg): 61.82 61.82 60.00
Site moments in Bohr magnetons follow the coordinates.
Fractional coordinates of all 35 atoms:
Li 0.983 0.983 0.052  0.00
Nb 0.140 0.140 0.581  0.00
Co 0.857 0.857 0.428  0.55
Co 0.649 0.649 0.053  0.77
Co 0.352 0.352 0.944  0.80
P 0.967 0.545 0.236  0.00
P 0.545 0.253 0.236  0.00
P 0.253 0.967 0.236  0.00
P 0.732 0.030 0.758  0.00
P 0.480 0.732 0.758  0.00
P 0.030 0.480 0.758  0.00
O 0.824 0.485 0.911  0.06
O 0.781 0.824 0.911  0.06
O 0.891 0.755 0.250  0.01
O 0.485 0.781 0.911  0.06
O 0.817 0.513 0.201  0.04
O 0.991 0.386 0.425  0.00
O 0.755 0.103 0.250  0.01
O 0.513 0.468 0.201  0.04
O 0.468 0.817 0.201  0.04
O 0.797 0.010 0.565  0.06
O 0.877 0.110 0.749  0.00
O 0.627 0.797 0.565  0.06
O 0.386 0.198 0.425  0.00
O 0.103 0.891 0.250  0.01
O 0.198 0.991 0.425  0.00
O 0.516 0.179 0.797  0.05
O 0.508 0.516 0.797  0.05
O 0.264 0.877 0.749  0.00
O 0.010 0.627 0.565  0.06
O 0.179 0.508 0.797  0.05
O 0.522 0.211 0.088  0.03
O 0.110 0.264 0.749  0.00
O 0.211 0.178 0.088  0.03
O 0.178 0.522 0.088  0.03

Summary:
Crystal system   trigonal
Formation energy from raw total energies   -1.8330 eV/atom
Magnetic moment   3.05 μB/cell
Symmetry   R3